Record 1
Ti2IrOs2: relaxed, PBE-GGA.

abc: 7.0507 7.0507 5.3315
angles: 97.09 97.09 34.66
Positions (direct):
Ti1 0.0000 0.0000 0.0000
Ti2 0.2118 0.2118 0.7442
Ti3 0.3804 0.3804 0.2986
Ti4 0.5978 0.5978 0.3673
Ir1 0.1863 0.1863 0.2220
Ir2 0.4097 0.4097 0.7944
Os1 0.6089 0.6089 0.8567
Os2 0.7883 0.7883 0.5385
Os3 0.8091 0.8091 0.0473
Os4 0.9964 0.9964 0.4949

## Properties
N(E_F) = 0.507 states/eV/atom
DFT formation energy = -0.489 eV per atom



Record 2
Pm3GeTe6: relaxed, PBE-GGA.

abc: 9.7739 9.7739 7.4487
angles: 90.00 90.00 102.18
Positions (direct):
Pm1 0.0941 0.9059 0.5000
Pm2 0.2218 0.4148 0.3882
Pm3 0.4148 0.2218 0.8882
Pm4 0.5852 0.7782 0.3882
Pm5 0.7782 0.5852 0.8882
Pm6 0.9059 0.0941 0.0000
Ge1 0.2988 0.7012 0.8500
Ge2 0.7012 0.2988 0.3500
Te1 0.0602 0.5951 0.6627
Te2 0.1249 0.2012 0.6962
Te3 0.2012 0.1249 0.1962
Te4 0.2774 0.7226 0.2253
Te5 0.4049 0.9398 0.6627
Te6 0.4659 0.5341 0.6954
Te7 0.5341 0.4659 0.1954
Te8 0.5951 0.0602 0.1627
Te9 0.7226 0.2774 0.7253
Te10 0.7988 0.8751 0.6962
Te11 0.8751 0.7988 0.1962
Te12 0.9398 0.4049 0.1627

## Properties
ΔE_f (raw) = -1.055 eV/atom
N(E_F) = 0.350 states/eV/atom



Record 3
Bi4PbS7: relaxed, PBE-GGA.

abc: 7.0481 7.0481 12.3133
angles: 104.63 104.63 33.33
Positions (direct):
Bi1 0.0000 0.0000 0.0000
Bi2 0.5778 0.5778 0.4112
Bi3 0.6921 0.6921 0.8516
Bi4 0.8202 0.8202 0.2745
Pb1 0.3485 0.3485 0.6329
S1 0.0431 0.0431 0.8007
S2 0.2210 0.2210 0.3777
S3 0.3512 0.3512 0.8817
S4 0.4300 0.4300 0.2007
S5 0.6439 0.6439 0.0632
S6 0.7053 0.7053 0.6318
S7 0.9634 0.9634 0.4760

## Properties
ΔE_f (raw) = -0.385 eV/atom



Record 4
HAu: relaxed, PBE-GGA.

abc: 8.7169 8.7169 2.8895
angles: 90.00 90.00 90.00
Positions (direct):
H1 0.0529 0.7836 0.0000
H2 0.2164 0.0529 0.0000
H3 0.2966 0.4299 0.5000
H4 0.4299 0.7034 0.5000
H5 0.5701 0.2966 0.5000
H6 0.7034 0.5701 0.5000
H7 0.7836 0.9471 0.0000
H8 0.9471 0.2164 0.0000
Au1 0.1046 0.6790 0.5000
Au2 0.1883 0.3897 0.0000
Au3 0.3210 0.1046 0.5000
Au4 0.3897 0.8117 0.0000
Au5 0.6103 0.1883 0.0000
Au6 0.6790 0.8954 0.5000
Au7 0.8117 0.6103 0.0000
Au8 0.8954 0.3210 0.5000

## Properties
N(E_F) = 0.147 states/eV/atom
E = -3.04 eV/atom



no.,mass density (g/cm³)
1,14.9
2,6.1
3,6.5
4,12.0